Here is a geometry-optimized La2ZrPd structure from the Alexandria database. Energies are from PBE.

Structure (POSCAR):
```
La2ZrPd
1.0
3.626 0.000 0.000
0.000 3.626 0.000
0.000 0.000 8.316
La Zr Pd
2 1 1
direct
0.000 0.000 0.221 La
0.000 0.000 0.779 La
0.500 0.500 0.500 Zr
0.500 0.500 0.000 Pd
```

SG: P4/mmm
Energy relative to the lowest polymorph listed for this composition in eV/atom: 0.000
Formation energy from the elements in eV per atom: -0.230
DOS(E_F) in states/eV/atom: 1.2967
Total DFT energy (no corrections) in eV per atom: -6.1292



Here is a geometry-optimized La2ZrPd structure from the Alexandria database. Energies are from PBE.

Structure (POSCAR):
```
La2ZrPd
1.0
-4.200 4.200 3.174
4.200 -4.200 3.174
4.200 4.200 -3.174
La Zr Pd
4 2 2
direct
0.084 0.625 0.959 La
0.375 0.334 0.459 La
0.666 0.125 0.041 La
0.875 0.916 0.541 La
0.250 0.750 0.500 Zr
0.500 0.500 0.000 Zr
0.000 0.000 0.000 Pd
0.750 0.250 0.500 Pd
```

SG: I-42d
Energy relative to the lowest polymorph listed for this composition in eV/atom: 0.236
Formation energy from the elements in eV per atom: 0.006
DOS(E_F) in states/eV/atom: 1.0816
Total DFT energy (no corrections) in eV per atom: -5.8933



Here is a geometry-optimized La2ZrPd9 structure from the Alexandria database. Energies are from PBE.

Structure (POSCAR):
```
La2ZrPd9
1.0
4.159 0.000 0.000
0.000 4.159 0.000
0.000 0.000 12.532
La Zr Pd
2 1 9
direct
0.000 0.000 0.171 La
0.000 0.000 0.829 La
0.000 0.000 0.500 Zr
0.000 0.500 0.000 Pd
0.000 0.500 0.347 Pd
0.000 0.500 0.653 Pd
0.500 0.000 0.000 Pd
0.500 0.000 0.347 Pd
0.500 0.000 0.653 Pd
0.500 0.500 0.174 Pd
0.500 0.500 0.500 Pd
0.500 0.500 0.826 Pd
```

SG: P4/mmm
Formation energy from the elements in eV per atom: -0.803
DOS(E_F) in states/eV/atom: 0.5001
Total DFT energy (no corrections) in eV per atom: -6.2314



Here is a geometry-optimized LaZrPd2 structure from the Alexandria database. Energies are from PBE.

Structure (POSCAR):
```
LaZrPd2
1.0
3.419 0.000 0.000
0.000 3.419 0.000
0.000 0.000 7.446
La Zr Pd
1 1 2
direct
0.000 0.000 0.000 La
0.000 0.000 0.500 Zr
0.500 0.500 0.299 Pd
0.500 0.500 0.701 Pd
```

SG: P4/mmm
Formation energy from the elements in eV per atom: -0.653
DOS(E_F) in states/eV/atom: 1.1499
Total DFT energy (no corrections) in eV per atom: -6.6184



Here is a geometry-optimized La2Pm structure from the Alexandria database. Energies are from PBE.

Structure (POSCAR):
```
La2Pm
1.0
-1.856 1.856 7.853
1.856 -1.856 7.853
1.856 1.856 -7.853
La Pm
2 1
direct
0.166 0.166 0.000 La
0.834 0.834 0.000 La
0.500 0.500 0.000 Pm
```

SG: I4/mmm
Energy relative to the lowest polymorph listed for this composition in eV/atom: 0.005
Formation energy from the elements in eV per atom: 0.019
DOS(E_F) in states/eV/atom: 2.0223
Total DFT energy (no corrections) in eV per atom: -4.8496



Here is a geometry-optimized LaPm3 structure from the Alexandria database. Energies are from PBE.

Structure (POSCAR):
```
LaPm3
1.0
-1.853 5.962 3.209
1.853 -5.962 3.209
1.853 5.962 -3.209
La Pm
1 3
direct
0.000 0.000 0.000 La
0.084 0.333 0.752 Pm
0.503 0.003 0.500 Pm
0.581 0.333 0.248 Pm
```

SG: Imm2
Formation energy from the elements in eV per atom: 0.033
DOS(E_F) in states/eV/atom: 1.7807
Total DFT energy (no corrections) in eV per atom: -4.7614



Here is a geometry-optimized LaPm3 structure from the Alexandria database. Energies are from PBE.

Structure (POSCAR):
```
LaPm3
1.0
-2.595 2.595 5.227
2.595 -2.595 5.227
2.595 2.595 -5.227
La Pm
1 3
direct
0.000 0.000 0.000 La
0.250 0.750 0.500 Pm
0.500 0.500 0.000 Pm
0.750 0.250 0.500 Pm
```

SG: I4/mmm
Formation energy from the elements in eV per atom: 0.019
DOS(E_F) in states/eV/atom: 1.7515
Total DFT energy (no corrections) in eV per atom: -4.7757



Here is a geometry-optimized La5Pm structure from the Alexandria database. Energies are from PBE.

Structure (POSCAR):
```
La5Pm
1.0
2.625 -7.873 0.000
2.625 7.873 0.000
0.000 0.000 5.249
La Pm
5 1
direct
0.000 0.000 0.000 La
0.166 0.834 0.500 La
0.333 0.667 0.000 La
0.667 0.333 0.000 La
0.834 0.166 0.500 La
0.500 0.500 0.500 Pm
```

SG: Cmmm
Formation energy from the elements in eV per atom: 0.010
DOS(E_F) in states/eV/atom: 1.8688
Total DFT energy (no corrections) in eV per atom: -4.8883



Here is a geometry-optimized La6Pm structure from the Alexandria database. Energies are from PBE.

Structure (POSCAR):
```
La6Pm
1.0
-4.108 4.108 4.108
4.108 -4.108 4.108
4.108 4.108 -4.108
La Pm
6 1
direct
0.250 0.500 0.750 La
0.250 0.750 0.500 La
0.500 0.250 0.750 La
0.500 0.750 0.250 La
0.750 0.250 0.500 La
0.750 0.500 0.250 La
0.000 0.000 0.000 Pm
```

SG: Im-3m
Energy relative to the lowest polymorph listed for this composition in eV/atom: 0.751
Formation energy from the elements in eV per atom: 0.856
DOS(E_F) in states/eV/atom: 1.0029
Total DFT energy (no corrections) in eV per atom: -4.0460



Here is a geometry-optimized La3Pm7 structure from the Alexandria database. Energies are from PBE.

Structure (POSCAR):
```
La3Pm7
1.0
9.392 -2.603 0.000
9.392 2.603 0.000
-1.460 0.000 7.199
La Pm
3 7
direct
0.000 0.000 0.000 La
0.199 0.199 0.599 La
0.801 0.801 0.401 La
0.000 0.000 0.500 Pm
0.200 0.200 0.100 Pm
0.400 0.400 0.199 Pm
0.401 0.401 0.700 Pm
0.599 0.599 0.300 Pm
0.600 0.600 0.801 Pm
0.800 0.800 0.900 Pm
```

SG: C2/m
Energy relative to the lowest polymorph listed for this composition in eV/atom: 0.000
Formation energy from the elements in eV per atom: 0.016
DOS(E_F) in states/eV/atom: 1.6632
Total DFT energy (no corrections) in eV per atom: -4.7880



Here is a geometry-optimized La4Pm3 structure from the Alexandria database. Energies are from PBE.

Structure (POSCAR):
```
La4Pm3
1.0
8.692 -1.789 0.000
8.692 1.789 0.000
-4.043 0.000 8.091
La Pm
4 3
direct
0.078 0.078 0.206 La
0.361 0.361 0.093 La
0.639 0.639 0.907 La
0.922 0.922 0.794 La
0.000 0.000 0.500 Pm
0.222 0.222 0.646 Pm
0.778 0.778 0.354 Pm
```

SG: C2/m
Energy relative to the lowest polymorph listed for this composition in eV/atom: 0.083
Formation energy from the elements in eV per atom: 0.102
DOS(E_F) in states/eV/atom: 1.7567
Total DFT energy (no corrections) in eV per atom: -4.7498



Here is a geometry-optimized La3Pm5 structure from the Alexandria database. Energies are from PBE.

Structure (POSCAR):
```
La3Pm5
1.0
5.176 -5.213 0.000
5.176 5.213 0.000
0.000 0.000 5.240
La Pm
3 5
direct
0.000 0.000 0.000 La
0.252 0.748 0.500 La
0.748 0.252 0.500 La
0.000 0.500 0.000 Pm
0.250 0.250 0.500 Pm
0.500 0.000 0.000 Pm
0.500 0.500 0.000 Pm
0.750 0.750 0.500 Pm
```

SG: Cmmm
Energy relative to the lowest polymorph listed for this composition in eV/atom: 0.000
Formation energy from the elements in eV per atom: 0.016
DOS(E_F) in states/eV/atom: 1.7516
Total DFT energy (no corrections) in eV per atom: -4.8009